A plane-wave DFT calculation with GGA+U was carried out for CrAsNF2 after structural relaxation.

Cell: 4.341 4.341 3.720 Å, 90.00 90.00 90.00°
Last column: magnetic moment on the atom in μB.
Fractional coordinates of all 5 atoms:
As 0.000 0.000 0.000  0.00
F 0.500 0.000 0.000  0.02
F 0.000 0.500 0.000  0.02
N 0.000 0.000 0.500  -0.04
Cr 0.500 0.500 0.500  4.53

- energy above the lowest structure with this stoichiometry (eV/f.u.) = 1.000
- magnetic moment (μB per cell) = 4.8